Record 1
VASP calculation (PBE) on crystalline Dy6YMg2 at its relaxed geometry.

Values from the calculation:
Energy of formation from the pure elements   0.19 eV per atom
Size of the total moment   0.000 μB per cell
VASP energy   -3.95 eV per atom

POSCAR file:
```
Dy6YMg2
1.0
-2.1814 6.2546 0.1575
-6.4829 1.2337 0.5945
-2.2162 2.5486 7.4682
Mg Dy Y
2 6 1
direct
0.5225 0.5225 0.4324
0.6556 0.6556 0.0332
0.4368 0.9821 0.6822
0.0406 0.1471 0.2133
0.1471 0.5990 0.2133
0.5990 0.0406 0.2133
0.8990 0.4368 0.6822
0.9821 0.8990 0.6822
0.3830 0.3830 0.8509
```

---

Record 2
VASP calculation (PBE) on crystalline Dy2Y6Mg at its relaxed geometry.

Values from the calculation:
Energy of formation from the pure elements   0.17 eV per atom
Size of the total moment   0.000 μB per cell
VASP energy   -5.34 eV per atom
Offset from the most stable computed form   147.4 meV per atom

POSCAR file:
```
Dy2Y6Mg
1.0
-1.4997 -1.5732 2.7027
0.9120 -5.7966 -0.6427
9.6624 7.4614 11.9300
Dy Y Mg
2 6 1
direct
0.8326 0.5054 0.8294
0.1674 0.4946 0.1706
0.5642 0.8101 0.0615
0.7747 0.1775 0.2732
0.4358 0.1899 0.9385
0.1007 0.1984 0.6001
0.8993 0.8016 0.3999
0.2253 0.8225 0.7268
0.5000 0.5000 0.5000
```